No. 1
Crystalline Cu2MoRh at its relaxed geometry. Source: Alexandria via LeMat-Bulk, functional PBE-GGA.

Values from the calculation:
SG   No. 12
DFT formation energy   132.8 meV per atom

Lattice parameters (Å, degrees): 4.694 4.694 4.566 80.65 80.65 33.66
Element x y z (fractional)
Rh 0.250 0.250 0.250
Cu 0.501 0.501 0.501
Cu 0.999 0.999 0.999
Mo 0.750 0.750 0.750

No. 2
Crystalline CaCe4Pu3Se8 at its relaxed geometry. Source: Alexandria via LeMat-Bulk, functional PBE-GGA.

Values from the calculation:
Formation energy (no corrections)   -1716 meV per atom
SG   No. 166

Lattice parameters (Å, degrees): 8.366 8.402 8.366 119.87 120.00 90.00
Element x y z (fractional)
Pu 0.000 0.500 0.500
Pu 0.500 0.500 0.500
Pu 0.500 0.500 0.000
Se 0.748 0.743 0.495
Se 0.248 0.744 0.996
Se 0.752 0.256 0.004
Se 0.252 0.257 0.505
Se 0.748 0.744 0.996
Se 0.752 0.256 0.504
Se 0.252 0.256 0.004
Se 0.248 0.744 0.496
Ce 0.000 0.000 0.000
Ce 0.000 0.000 0.500
Ce 0.500 0.000 0.500
Ce 0.500 0.000 0.000
Ca 0.000 0.500 0.000

No. 3
Crystalline BaCa2As at its relaxed geometry. Source: Alexandria via LeMat-Bulk, functional PBE-GGA.

Values from the calculation:
SG   No. 160
DFT formation energy   -627.5 meV per atom

Lattice parameters (Å, degrees): 4.399 4.399 10.572 77.99 77.99 60.00
Element x y z (fractional)
As 0.665 0.665 0.004
Ba 0.503 0.503 0.491
Ca 0.285 0.285 0.145
Ca 0.046 0.046 0.861

| no. | VASP energy (hartree per atom) |
| --- | --- |
| 1 | -0.2374 |
| 2 | -0.2850 |
| 3 | -0.1202 |